Pr4NiRu | PBE | relaxed

## Properties
ΔE to the lowest computed polymorph	7	meV per atom
ΔH_f (0 K)	-0.113	eV per atom

```
data_Pr4NiRu
_chemical_formula_sum 'Pr16 Ni4 Ru4'
_cell_length_a 9.456
_cell_length_b 14.294
_cell_length_c 6.993
_cell_angle_alpha 90.00
_cell_angle_beta 132.08
_cell_angle_gamma 90.00
_space_group_name_H-M_alt 'C 1 2/c 1'
_space_group_IT_number 15
_space_group_name_Hall '-C 2yc'
loop_
_atom_site_label
_atom_site_type_symbol
_atom_site_fract_x
_atom_site_fract_y
_atom_site_fract_z
_atom_site_occupancy
Pr1 Pr 0.187 0.221 0.176 1
Pr2 Pr 0.248 0.473 0.231 1
Ni1 Ni 0.000 0.100 0.250 1
Ru1 Ru 0.000 0.369 0.750 1
```



YZr2CuN | PBE | relaxed

## Properties
formation energy (no corrections)	-0.64	eV per atom

```
data_YZr2CuN
_chemical_formula_sum 'Y1 Zr2 Cu1 N1'
_cell_length_a 4.454
_cell_length_b 4.454
_cell_length_c 4.708
_cell_angle_alpha 90.00
_cell_angle_beta 90.00
_cell_angle_gamma 90.00
_space_group_name_H-M_alt 'P 4/m m m'
_space_group_IT_number 123
_space_group_name_Hall '-P 4 2'
loop_
_atom_site_label
_atom_site_type_symbol
_atom_site_fract_x
_atom_site_fract_y
_atom_site_fract_z
_atom_site_occupancy
Y1 Y 0.000 0.000 0.000 1
Zr1 Zr 0.000 0.500 0.500 1
Cu1 Cu 0.500 0.500 0.000 1
N1 N 0.000 0.000 0.500 1
```